(1)
# DyFeB4 | Alexandria | PBE | relaxed
data_DyFeB4
_symmetry_space_group_name_H-M 'P 1'
_symmetry_Int_Tables_number 1
_cell_length_a 5.890
_cell_length_b 11.394
_cell_length_c 3.377
_cell_angle_alpha 90.00
_cell_angle_beta 90.00
_cell_angle_gamma 90.00
loop_
_symmetry_equiv_pos_as_xyz
'x,y,z'
loop_
_atom_site_label
_atom_site_type_symbol
_atom_site_fract_x
_atom_site_fract_y
_atom_site_fract_z
_atom_site_occupancy
Dy1 Dy 0.127 0.150 0.000 1
Dy2 Dy 0.373 0.650 0.000 1
Dy3 Dy 0.627 0.350 0.000 1
Dy4 Dy 0.873 0.850 0.000 1
Fe1 Fe 0.133 0.412 0.000 1
Fe2 Fe 0.367 0.912 0.000 1
Fe3 Fe 0.633 0.088 0.000 1
Fe4 Fe 0.867 0.588 0.000 1
B1 B 0.024 0.690 0.500 1
B2 B 0.111 0.546 0.500 1
B3 B 0.139 0.968 0.500 1
B4 B 0.218 0.816 0.500 1
B5 B 0.282 0.316 0.500 1
B6 B 0.361 0.468 0.500 1
B7 B 0.389 0.046 0.500 1
B8 B 0.476 0.190 0.500 1
B9 B 0.524 0.810 0.500 1
B10 B 0.611 0.954 0.500 1
B11 B 0.639 0.532 0.500 1
B12 B 0.718 0.684 0.500 1
B13 B 0.782 0.184 0.500 1
B14 B 0.861 0.032 0.500 1
B15 B 0.889 0.454 0.500 1
B16 B 0.976 0.310 0.500 1
# Total moment, μB per formula unit: 0.00
# E_form, eV/atom: -0.613
# Energy, eV per cell: -173.816

=====

(2)
# SmAlZn | Alexandria | PBE | relaxed
data_SmAlZn
_symmetry_space_group_name_H-M 'P 1'
_symmetry_Int_Tables_number 1
_cell_length_a 5.757
_cell_length_b 5.757
_cell_length_c 7.379
_cell_angle_alpha 128.68
_cell_angle_beta 128.68
_cell_angle_gamma 46.45
loop_
_symmetry_equiv_pos_as_xyz
'x,y,z'
loop_
_atom_site_label
_atom_site_type_symbol
_atom_site_fract_x
_atom_site_fract_y
_atom_site_fract_z
_atom_site_occupancy
Sm1 Sm 0.034 0.034 0.288 1
Sm2 Sm 0.966 0.966 0.712 1
Al1 Al 0.336 0.336 0.884 1
Al2 Al 0.664 0.664 0.116 1
Zn1 Zn 0.335 0.335 0.286 1
Zn2 Zn 0.665 0.665 0.714 1
# Total moment, μB per formula unit: 0.00
# E_form, eV/atom: -0.446
# Energy, eV per cell: -22.147

=====

(3)
# LaTe2As | Alexandria | PBE | relaxed
data_LaTe2As
_symmetry_space_group_name_H-M 'P 1'
_symmetry_Int_Tables_number 1
_cell_length_a 9.693
_cell_length_b 9.693
_cell_length_c 9.693
_cell_angle_alpha 26.75
_cell_angle_beta 26.75
_cell_angle_gamma 26.75
loop_
_symmetry_equiv_pos_as_xyz
'x,y,z'
loop_
_atom_site_label
_atom_site_type_symbol
_atom_site_fract_x
_atom_site_fract_y
_atom_site_fract_z
_atom_site_occupancy
La1 La 0.000 0.000 0.000 1
Te1 Te 0.401 0.401 0.401 1
Te2 Te 0.599 0.599 0.599 1
As1 As 0.500 0.500 0.500 1
# Total moment, μB per formula unit: 0.30
# Energy, eV per cell: -17.664
# Formation energy without anion corrections, eV per atom: -0.45

=====

(4)
# NdSe3O12 | Alexandria | PBE | relaxed
data_NdSe3O12
_symmetry_space_group_name_H-M 'P 1'
_symmetry_Int_Tables_number 1
_cell_length_a 9.777
_cell_length_b 9.777
_cell_length_c 6.375
_cell_angle_alpha 90.00
_cell_angle_beta 90.00
_cell_angle_gamma 120.00
loop_
_symmetry_equiv_pos_as_xyz
'x,y,z'
loop_
_atom_site_label
_atom_site_type_symbol
_atom_site_fract_x
_atom_site_fract_y
_atom_site_fract_z
_atom_site_occupancy
Nd1 Nd 0.333 0.667 0.250 1
Nd2 Nd 0.667 0.333 0.750 1
Se1 Se 0.094 0.393 0.750 1
Se2 Se 0.298 0.906 0.750 1
Se3 Se 0.393 0.298 0.250 1
Se4 Se 0.607 0.702 0.750 1
Se5 Se 0.702 0.094 0.250 1
Se6 Se 0.906 0.607 0.250 1
O1 O 0.024 0.198 0.750 1
O2 O 0.045 0.556 0.250 1
O3 O 0.174 0.976 0.750 1
O4 O 0.198 0.174 0.250 1
O5 O 0.211 0.468 0.539 1
O6 O 0.211 0.468 0.961 1
O7 O 0.257 0.789 0.539 1
O8 O 0.257 0.789 0.961 1
O9 O 0.444 0.488 0.250 1
O10 O 0.468 0.257 0.039 1
O11 O 0.468 0.257 0.461 1
O12 O 0.488 0.045 0.750 1
O13 O 0.512 0.955 0.250 1
O14 O 0.532 0.743 0.539 1
O15 O 0.532 0.743 0.961 1
O16 O 0.556 0.512 0.750 1
O17 O 0.743 0.211 0.039 1
O18 O 0.743 0.211 0.461 1
O19 O 0.789 0.532 0.039 1
O20 O 0.789 0.532 0.461 1
O21 O 0.802 0.826 0.750 1
O22 O 0.826 0.024 0.250 1
O23 O 0.955 0.444 0.750 1
O24 O 0.976 0.802 0.250 1
# Total moment, μB per formula unit: 3.06
# Energy, eV per cell: -173.547
# Formation energy without anion corrections, eV per atom: -0.75

=====

(5)
# Dy6OsRh5 | Alexandria | PBE | relaxed
data_Dy6OsRh5
_symmetry_space_group_name_H-M 'P 1'
_symmetry_Int_Tables_number 1
_cell_length_a 7.676
_cell_length_b 7.676
_cell_length_c 6.794
_cell_angle_alpha 90.00
_cell_angle_beta 90.00
_cell_angle_gamma 143.13
loop_
_symmetry_equiv_pos_as_xyz
'x,y,z'
loop_
_atom_site_label
_atom_site_type_symbol
_atom_site_fract_x
_atom_site_fract_y
_atom_site_fract_z
_atom_site_occupancy
Dy1 Dy 0.000 0.000 0.248 1
Dy2 Dy 0.000 0.000 0.752 1
Dy3 Dy 0.335 0.665 0.249 1
Dy4 Dy 0.335 0.665 0.751 1
Dy5 Dy 0.665 0.335 0.249 1
Dy6 Dy 0.665 0.335 0.751 1
Os1 Os 0.500 0.500 0.000 1
Rh1 Rh 0.167 0.833 0.500 1
Rh2 Rh 0.168 0.832 0.000 1
Rh3 Rh 0.500 0.500 0.500 1
Rh4 Rh 0.832 0.168 0.000 1
Rh5 Rh 0.833 0.167 0.500 1
# Total moment, μB per formula unit: 0.00
# E_form, eV/atom: -0.759
# Energy, eV per cell: -84.705

=====

(6)
# BaMn2Si | Alexandria | PBE | relaxed
data_BaMn2Si
_symmetry_space_group_name_H-M 'P 1'
_symmetry_Int_Tables_number 1
_cell_length_a 5.647
_cell_length_b 5.647
_cell_length_c 5.647
_cell_angle_alpha 142.85
_cell_angle_beta 118.14
_cell_angle_gamma 74.41
loop_
_symmetry_equiv_pos_as_xyz
'x,y,z'
loop_
_atom_site_label
_atom_site_type_symbol
_atom_site_fract_x
_atom_site_fract_y
_atom_site_fract_z
_atom_site_occupancy
Ba1 Ba 0.000 0.000 0.000 1
Mn1 Mn 0.323 0.823 0.500 1
Mn2 Mn 0.677 0.177 0.500 1
Si1 Si 0.500 0.500 0.000 1
# Total moment, μB per formula unit: 6.88
# Energy, eV per cell: -23.589
# Formation energy without anion corrections, eV per atom: 0.52